VASP calculation (PBE) on crystalline Pu2ThGe2 at its relaxed geometry.

Output
Uncorrected energy in eV per atom: -9.28
D(E_F) in states/eV per cell: 20.09
E above lowest polymorph in eV/atom: 0.246
E_form in eV per atom: -0.217

a b c (Å): 4.2272 4.2272 14.5246
angles (deg): 90.00 90.00 120.00
Last column: nearest neighbours and their distance in Å.
Space group P6_3/mmc (No. 194)
Asymmetric unit:
1 Pu 0.3333 0.6667 0.0078 x4  3 Pu 2.45
2 Th 0.3333 0.6667 0.7500 x2  6 Ge 3.07
3 Ge 0.0000 0.0000 0.1223 x4  6 Pu 2.95-3.09, 3 Th 3.07

***

VASP calculation (PBE) on crystalline InCuPtRh at its relaxed geometry.

Output
Uncorrected energy in eV per atom: -5.32
D(E_F) in states/eV per cell: 3.15
E above lowest polymorph in eV/atom: 0.027
E_form in eV per atom: -0.265

a b c (Å): 3.6820 4.0406 4.1848
angles (deg): 90.00 90.00 90.00
Last column: nearest neighbours and their distance in Å.
Space group Pmmm (No. 47)
Asymmetric unit:
1 In 0.0000 0.0000 0.0000 x1  4 Rh 2.73, 4 Pt 2.79, 4 Cu 2.91
2 Cu 0.0000 0.5000 0.5000 x1  4 Pt 2.73, 4 Rh 2.79, 4 In 2.91
3 Pt 0.5000 0.0000 0.5000 x1  4 Cu 2.73, 4 In 2.79, 4 Rh 2.91
4 Rh 0.5000 0.5000 0.0000 x1  4 In 2.73, 4 Cu 2.79, 4 Pt 2.91

***

VASP calculation (PBE) on crystalline ScIr2Br at its relaxed geometry.

Output
ΔE_f (raw) in meV/atom: 396
Uncorrected energy in eV per atom: -6.04
D(E_F) in states/eV per cell: 19.28
E above lowest polymorph in eV/atom: 0.697

a b c (Å): 6.5346 6.5346 6.5346
angles (deg): 90.00 90.00 90.00
Last column: nearest neighbours and their distance in Å.
Space group Fm-3m (No. 225)
Asymmetric unit:
1 Sc 0.0000 0.0000 0.0000 x4  8 Ir 2.83
2 Ir 0.2500 0.2500 0.2500 x8  4 Br 2.83, 4 Sc 2.83
3 Br 0.0000 0.0000 0.5000 x4  8 Ir 2.83

***

VASP calculation (PBE) on crystalline Ca2Pr4Sm at its relaxed geometry.

Output
Uncorrected energy in eV per atom: -3.42
D(E_F) in states/eV per cell: 24.76
E above lowest polymorph in eV/atom: 0.458
E_form in eV per atom: 0.562

a b c (Å): 5.8223 5.8223 18.1169
angles (deg): 90.00 90.00 90.00
Last column: nearest neighbours and their distance in Å.
Space group I4/mmm (No. 139)
Asymmetric unit:
1 Ca 0.0000 0.0000 0.1260 x4  5 Pr 3.64-3.70
2 Pr 0.0000 0.0000 0.3268 x4  1 Sm 3.14
3 Pr 0.0000 0.5000 0.0000 x4  2 Sm 2.91
4 Sm 0.0000 0.0000 0.5000 x2  6 Pr 2.91-3.14

***

VASP calculation (PBE) on crystalline Ac6PrCd5 at its relaxed geometry.

Output
Uncorrected energy in eV per atom: -3.04
D(E_F) in states/eV per cell: 28.63
E_form in eV per atom: -0.208

a b c (Å): 5.7795 8.2532 17.4974
angles (deg): 90.00 90.00 90.00
Last column: nearest neighbours and their distance in Å.
Space group Immm (No. 71)
Asymmetric unit:
1 Ac 0.0000 0.2336 0.0000 x4  6 Cd 3.47-3.50, 2 Pr 3.63, 1 Ac 3.86
2 Ac 0.0000 0.2571 0.3284 x8  7 Cd 3.52-3.63, 1 Pr 3.68
3 Pr 0.0000 0.0000 0.5000 x2  8 Ac 3.63-3.68, 4 Cd 3.97
4 Cd 0.0000 0.0000 0.1672 x4  8 Ac 3.50-3.53
5 Cd 0.0000 0.5000 0.1556 x4  8 Ac 3.50-3.63
6 Cd 0.0000 0.5000 0.5000 x2  8 Ac 3.47-3.61

***

VASP calculation (PBE) on crystalline CsSrBr3 at its relaxed geometry.

Output
ΔE_f (raw) in meV/atom: -1883
Uncorrected energy in eV per atom: -3.39
D(E_F) in states/eV per cell: 0.00

a b c (Å): 5.8148 5.8148 12.5277
angles (deg): 90.00 90.00 120.00
Last column: nearest neighbours and their distance in Å.
Space group P6_3/mmc (No. 194)
Asymmetric unit:
1 Cs 0.3333 0.6667 0.2500 x2  3 Br 3.36
2 Sr 0.0000 0.0000 0.0000 x2  8 Br 3.13-3.43
3 Br 0.0000 0.0000 0.2500 x2  2 Sr 3.13, 3 Cs 3.36
4 Br 0.3333 0.6667 0.5559 x4  3 Sr 3.43, 3 Br 3.64, 1 Cs 3.83

***

- Which value of uncorrected energy does entry 6 give?
  -3.39 eV per atom

***

- Which value of uncorrected energy does entry 2 give?
  -5.32 eV per atom

***

What did the second record say?
VASP calculation (PBE) on crystalline InCuPtRh at its relaxed geometry.

Output
Uncorrected energy in eV per atom: -5.32
D(E_F) in states/eV per cell: 3.15
E above lowest polymorph in eV/atom: 0.027
E_form in eV per atom: -0.265

a b c (Å): 3.6820 4.0406 4.1848
angles (deg): 90.00 90.00 90.00
Last column: nearest neighbours and their distance in Å.
Space group Pmmm (No. 47)
Asymmetric unit:
1 In 0.0000 0.0000 0.0000 x1  4 Rh 2.73, 4 Pt 2.79, 4 Cu 2.91
2 Cu 0.0000 0.5000 0.5000 x1  4 Pt 2.73, 4 Rh 2.79, 4 In 2.91
3 Pt 0.5000 0.0000 0.5000 x1  4 Cu 2.73, 4 In 2.79, 4 Rh 2.91
4 Rh 0.5000 0.5000 0.0000 x1  4 In 2.73, 4 Cu 2.79, 4 Pt 2.91

***

- Look up the D(E_F) of the third one.
  19.28 states/eV per cell